1.
VASP calculation (PBE-GGA) on crystalline Ce4PrEr at its relaxed geometry.

Cell: 6.3493 6.3493 6.3493 Å, 60.00 60.00 60.00°
Site moments in Bohr magnetons follow the coordinates.
Element x y z (fractional)
Ce: 0.6303 0.1092 0.6303  0.72
Ce: 0.1092 0.6303 0.6303  0.72
Ce: 0.6303 0.6303 0.6303  0.72
Ce: 0.6303 0.6303 0.1092  0.72
Pr: 0.2500 0.2500 0.2500  0.04
Er: 0.0000 0.0000 0.0000  0.14

Raw total energy = -5.310 eV/atom

---

2.
VASP calculation (PBE-GGA) on crystalline Ce2Pr5Er6 at its relaxed geometry.

Cell: 3.5787 11.5147 20.9813 Å, 90.00 90.00 90.00°
Site moments in Bohr magnetons follow the coordinates.
Element x y z (fractional)
Er: 0.0000 0.5623 0.1471  0.00
Er: 0.0000 0.4172 0.5625  -0.02
Er: 0.5000 0.1872 0.6241  0.02
Er: 0.5000 0.8128 0.3759  0.02
Er: 0.5000 0.6872 0.8759  0.02
Er: 0.0000 0.9172 0.9375  -0.02
Er: 0.0000 0.0828 0.0625  -0.02
Er: 0.0000 0.4377 0.8529  0.00
Er: 0.0000 0.9377 0.6471  0.00
Er: 0.0000 0.0623 0.3529  0.00
Er: 0.0000 0.5828 0.4375  -0.02
Er: 0.5000 0.3127 0.1241  0.02
Pr: 0.5000 0.8088 0.0771  0.01
Pr: 0.5000 0.0596 0.2060  -0.01
Pr: 0.5000 0.4404 0.7060  -0.01
Pr: 0.5000 0.0000 0.5000  -0.03
Pr: 0.5000 0.1912 0.9229  0.01
Pr: 0.5000 0.3088 0.4229  0.01
Pr: 0.5000 0.9404 0.7940  -0.01
Pr: 0.5000 0.5596 0.2940  -0.01
Pr: 0.5000 0.6912 0.5771  0.01
Pr: 0.5000 0.5000 0.0000  -0.03
Ce: 0.0000 0.1915 0.7639  0.65
Ce: 0.0000 0.6915 0.7361  0.65
Ce: 0.0000 0.8085 0.2361  0.65
Ce: 0.0000 0.3085 0.2639  0.65

Raw total energy = -4.734 eV/atom

---

3.
VASP calculation (PBE-GGA) on crystalline CePr4Er6 at its relaxed geometry.

Cell: 9.6578 9.6578 9.6578 Å, 58.63 139.49 139.49°
Site moments in Bohr magnetons follow the coordinates.
Element x y z (fractional)
Er: 0.5000 0.0000 0.5000  0.01
Er: 0.6380 0.1966 0.1966  -0.01
Er: 0.5000 0.5000 0.0000  0.01
Er: 0.0000 0.8034 0.4414  -0.01
Er: 0.0000 0.4414 0.8034  -0.01
Er: 0.3620 0.5586 0.5586  -0.01
Pr: 0.6178 0.9831 0.9831  0.00
Pr: 0.3822 0.3653 0.3653  0.00
Pr: 0.0000 0.0169 0.6347  0.00
Pr: 0.0000 0.6347 0.0169  0.00
Ce: 0.0000 0.0000 0.0000  0.33

Raw total energy = -4.458 eV/atom

---

4.
VASP calculation (PBE-GGA) on crystalline CePr12Er5 at its relaxed geometry.

Cell: 15.4612 10.9426 5.1736 Å, 90.01 90.01 45.09°
Site moments in Bohr magnetons follow the coordinates.
Element x y z (fractional)
Pr: 0.3362 0.0001 0.0000  0.00
Pr: 0.6638 0.9999 0.0000  0.00
Pr: 0.9976 0.3321 0.0000  0.01
Pr: 0.8375 0.0001 0.5000  0.02
Pr: 0.8306 0.6673 0.5000  0.00
Pr: 0.5020 0.6676 0.5000  0.00
Pr: 0.0024 0.6679 0.0000  0.01
Pr: 0.1694 0.3327 0.5000  0.00
Pr: 0.3299 0.6677 0.0000  0.01
Pr: 0.1625 0.9999 0.5000  0.02
Pr: 0.6701 0.3324 0.0000  0.01
Pr: 0.4980 0.3324 0.5000  0.00
Ce: 0.0000 0.0000 0.0000  0.83
Er: 0.5000 0.0000 0.5000  0.03
Er: 0.1659 0.6680 0.5000  0.05
Er: 0.3331 0.3339 0.0000  0.02
Er: 0.6670 0.6661 0.0000  0.02
Er: 0.8341 0.3320 0.5000  0.05

Raw total energy = -4.745 eV/atom

---

5.
VASP calculation (PBE-GGA) on crystalline CePr4Er5 at its relaxed geometry.

Cell: 5.8149 11.8267 8.1950 Å, 135.58 110.78 90.00°
Site moments in Bohr magnetons follow the coordinates.
Element x y z (fractional)
Er: 0.1548 0.7228 0.3097  -0.01
Er: 0.1552 0.0822 0.3104  -0.08
Er: 0.8447 0.9178 0.6896  -0.08
Er: 0.5000 0.5000 0.0000  0.01
Er: 0.8452 0.2772 0.6903  -0.01
Pr: 0.5835 0.8364 0.1670  -0.04
Pr: 0.8404 0.5998 0.6807  -0.02
Pr: 0.1596 0.4002 0.3193  -0.02
Pr: 0.4165 0.1636 0.8330  -0.04
Ce: 0.5000 0.0000 0.0000  -0.61

Raw total energy = -4.549 eV/atom

---

6.
VASP calculation (PBE-GGA) on crystalline CePr8Er3 at its relaxed geometry.

Cell: 8.5042 8.5042 8.5042 Å, 93.56 117.97 117.97°
Element x y z (fractional)
Ce: 0.0000 0.0000 0.0000
Pr: 0.0000 0.6361 0.8801
Pr: 0.0000 0.8801 0.6361
Pr: 0.5237 0.7438 0.7438
Pr: 0.7561 0.1199 0.1199
Pr: 0.0000 0.2562 0.7799
Pr: 0.2439 0.3639 0.3639
Pr: 0.0000 0.7799 0.2562
Pr: 0.4763 0.2201 0.2201
Er: 0.5000 0.2500 0.7500
Er: 0.0000 0.5000 0.5000
Er: 0.5000 0.7500 0.2500

Raw total energy = -4.284 eV/atom

---

7.
VASP calculation (PBE-GGA) on crystalline Ce2PrEr at its relaxed geometry.

Cell: 5.1297 4.9290 4.9290 Å, 90.00 90.00 90.00°
Site moments in Bohr magnetons follow the coordinates.
Element x y z (fractional)
Ce: 0.0000 0.5000 0.0000  0.66
Ce: 0.0000 0.0000 0.5000  0.66
Pr: 0.5000 0.5000 0.5000  0.01
Er: 0.5000 0.0000 0.0000  0.04

Raw total energy = -5.191 eV/atom

---

8.
VASP calculation (PBE-GGA) on crystalline CePr2Er at its relaxed geometry.

Cell: 5.7735 5.7735 5.7735 Å, 60.00 60.00 60.00°
Site moments in Bohr magnetons follow the coordinates.
Element x y z (fractional)
Pr: 0.7500 0.7500 0.7500  0.29
Pr: 0.2500 0.2500 0.2500  0.29
Er: 0.0000 0.0000 0.0000  0.38
Ce: 0.5000 0.5000 0.5000  1.11

Raw total energy = -4.816 eV/atom

---

Energy of formation per entry: 0.203, 0.124, 0.309, 0.038, 0.237, 0.538, 0.112, 0.198 eV per atom